1.
Here is an optimized crystal structure of CaAgAu3 from Alexandria. Energies are from PBE-GGA.

excess energy over the best structure of this formula in the dataset = 0.440 eV/atom

Cell and atoms, written as CIF:
```
data_CaAgAu3
_cell_length_a 5.124
_cell_length_b 5.124
_cell_length_c 5.124
_cell_angle_alpha 90.00
_cell_angle_beta 90.00
_cell_angle_gamma 90.00
_symmetry_space_group_name_H-M 'P m -3 m'
_symmetry_Int_Tables_number 221
_symmetry_space_group_name_Hall '-P 4 2 3'
loop_
_atom_site_label
_atom_site_type_symbol
_atom_site_fract_x
_atom_site_fract_y
_atom_site_fract_z
Ca1 Ca 0.000 0.000 0.000
Ag1 Ag 0.500 0.500 0.500
Au1 Au 0.000 0.500 0.500
```

2.
Here is an optimized crystal structure of CaAg3Au2 from Alexandria. Energies are from PBE-GGA.

final energy = -0.2308 Ry/atom

Cell and atoms, written as CIF:
```
data_CaAg3Au2
_cell_length_a 14.151
_cell_length_b 4.535
_cell_length_c 9.126
_cell_angle_alpha 90.00
_cell_angle_beta 122.80
_cell_angle_gamma 90.00
_symmetry_space_group_name_H-M 'C 1 2/m 1'
_symmetry_Int_Tables_number 12
loop_
_symmetry_equiv_pos_as_xyz
'x,y,z'
'-x,-y,-z'
'-x,y,-z'
'x,-y,z'
'x+1/2,y+1/2,z'
'-x+1/2,-y+1/2,-z'
'-x+1/2,y+1/2,-z'
'x+1/2,-y+1/2,z'
loop_
_atom_site_label
_atom_site_type_symbol
_atom_site_fract_x
_atom_site_fract_y
_atom_site_fract_z
Ca1 Ca 0.133 0.000 0.007
Ag1 Ag 0.058 0.000 0.391
Ag2 Ag 0.080 0.500 0.696
Ag3 Ag 0.221 0.500 0.560
Au1 Au 0.068 0.500 0.184
Au2 Au 0.213 0.000 0.756
```

3.
Here is an optimized crystal structure of Ca4Ag2Au from Alexandria. Energies are from PBE-GGA.

final energy = -0.2065 Ry/atom

Cell and atoms, written as CIF:
```
data_Ca4Ag2Au
_cell_length_a 5.1888
_cell_length_b 5.1888
_cell_length_c 25.6506
_cell_angle_alpha 90.00
_cell_angle_beta 90.00
_cell_angle_gamma 120.00
_symmetry_space_group_name_H-M 'R -3 m'
_symmetry_Int_Tables_number 166
_symmetry_space_group_name_Hall '-R 3 2"'
loop_
_atom_site_label
_atom_site_type_symbol
_atom_site_fract_x
_atom_site_fract_y
_atom_site_fract_z
Ca1 Ca 0.0000 0.0000 0.1238
Ca2 Ca 0.0000 0.0000 0.3732
Ag1 Ag 0.0000 0.0000 0.2488
Au1 Au 0.0000 0.0000 0.0000
```

4.
Here is an optimized crystal structure of CaAgAu2 from Alexandria. Energies are from PBE-GGA.

final energy = -0.2418 Ry/atom

Cell and atoms, written as CIF:
```
data_CaAgAu2
_cell_length_a 6.908
_cell_length_b 6.908
_cell_length_c 6.908
_cell_angle_alpha 90.00
_cell_angle_beta 90.00
_cell_angle_gamma 90.00
_symmetry_space_group_name_H-M 'F -4 3 m'
_symmetry_Int_Tables_number 216
_symmetry_space_group_name_Hall 'F -4 2 3'
loop_
_atom_site_label
_atom_site_type_symbol
_atom_site_fract_x
_atom_site_fract_y
_atom_site_fract_z
Ca1 Ca 0.000 0.000 0.000
Ag1 Ag 0.250 0.250 0.750
Au1 Au 0.000 0.000 0.500
Au2 Au 0.250 0.250 0.250
```

5.
Here is an optimized crystal structure of Ca3AgAu8 from Alexandria. Energies are from PBE-GGA.

final energy = -0.2518 Ry/atom

Cell and atoms, written as CIF:
```
data_Ca3AgAu8
_cell_length_a 5.5972
_cell_length_b 5.5972
_cell_length_c 28.1618
_cell_angle_alpha 90.00
_cell_angle_beta 90.00
_cell_angle_gamma 120.00
_symmetry_space_group_name_H-M 'R 3 m'
_symmetry_Int_Tables_number 160
_symmetry_space_group_name_Hall 'R 3 -2"'
loop_
_atom_site_label
_atom_site_type_symbol
_atom_site_fract_x
_atom_site_fract_y
_atom_site_fract_z
Ca1 Ca 0.0000 0.0000 0.0000
Ca2 Ca 0.0000 0.0000 0.1298
Ca3 Ca 0.0000 0.0000 0.6110
Ag1 Ag 0.0000 0.0000 0.4926
Au1 Au 0.0000 0.0000 0.3100
Au2 Au 0.0000 0.0000 0.8100
Au3 Au 0.0023 0.5011 0.5602
Au4 Au 0.1670 0.3340 0.3931
```

6.
Here is an optimized crystal structure of Ca2AgAu from Alexandria. Energies are from PBE-GGA.

excess energy over the best structure of this formula in the dataset = 0.019 eV/atom

Cell and atoms, written as CIF:
```
data_Ca2AgAu
_cell_length_a 3.712
_cell_length_b 5.163
_cell_length_c 5.163
_cell_angle_alpha 90.00
_cell_angle_beta 90.07
_cell_angle_gamma 90.00
_symmetry_space_group_name_H-M 'P 1 m 1'
_symmetry_Int_Tables_number 6
loop_
_symmetry_equiv_pos_as_xyz
'x,y,z'
'x,-y,z'
loop_
_atom_site_label
_atom_site_type_symbol
_atom_site_fract_x
_atom_site_fract_y
_atom_site_fract_z
Ca1 Ca 0.000 0.000 0.000
Ca2 Ca 0.000 0.500 0.500
Ag1 Ag 0.500 0.000 0.500
Au1 Au 0.500 0.500 0.999
```

7.
Here is an optimized crystal structure of Ca2AgAu7 from Alexandria. Energies are from PBE-GGA.

excess energy over the best structure of this formula in the dataset = 0.000 eV/atom

Cell and atoms, written as CIF:
```
data_Ca2AgAu7
_cell_length_a 4.035
_cell_length_b 4.035
_cell_length_c 13.437
_cell_angle_alpha 90.00
_cell_angle_beta 90.00
_cell_angle_gamma 90.00
_symmetry_space_group_name_H-M 'P -4 m 2'
_symmetry_Int_Tables_number 115
loop_
_symmetry_equiv_pos_as_xyz
'x,y,z'
'y,-x,-z'
'-x,-y,z'
'-y,x,-z'
'-x,y,z'
'-y,-x,-z'
'x,-y,z'
'y,x,-z'
loop_
_atom_site_label
_atom_site_type_symbol
_atom_site_fract_x
_atom_site_fract_y
_atom_site_fract_z
Ca1 Ca 0.000 0.500 0.247
Ag1 Ag 0.000 0.000 0.500
Au1 Au 0.000 0.000 0.000
Au2 Au 0.000 0.500 0.650
Au3 Au 0.000 0.500 0.849
Au4 Au 0.500 0.500 0.000
Au5 Au 0.500 0.500 0.500
```

8.
Here is an optimized crystal structure of Ca7Ag2Au2 from Alexandria. Energies are from PBE-GGA.

excess energy over the best structure of this formula in the dataset = 0.119 eV/atom

Cell and atoms, written as CIF:
```
data_Ca7Ag2Au2
_cell_length_a 8.530
_cell_length_b 11.181
_cell_length_c 7.361
_cell_angle_alpha 90.00
_cell_angle_beta 90.00
_cell_angle_gamma 90.00
_symmetry_space_group_name_H-M 'C m m m'
_symmetry_Int_Tables_number 65
_symmetry_space_group_name_Hall '-C 2 2'
loop_
_atom_site_label
_atom_site_type_symbol
_atom_site_fract_x
_atom_site_fract_y
_atom_site_fract_z
Ca1 Ca 0.000 0.000 0.000
Ca2 Ca 0.000 0.500 0.254
Ca3 Ca 0.250 0.250 0.266
Ag1 Ag 0.176 0.000 0.500
Au1 Au 0.000 0.285 0.000
```